A relaxed structure of CsP2PdSeS6. Source: OQMD via LeMat-Bulk, functional GGA-PBE.

Structure (extended XYZ):
```
11
Lattice="4.4932 -4.7990 0.0000 4.4932 4.7990 0.0000 -0.9596 0.0000 7.0187" Properties=species:S:1:pos:R:3 pbc="T T T"
P 6.7455 1.3457 2.9742
P 1.2814 1.3457 4.0444
Pd 4.0134 -0.1573 3.5093
Se 4.0134 4.7314 3.5093
S 2.9289 -1.7890 2.0420
S 5.0979 -1.7889 4.9766
S 2.3476 0.2299 5.3671
S 5.6792 0.2299 1.6515
S 2.5299 1.5624 2.4532
S 5.4969 1.5624 4.5655
Cs 4.4932 3.7619 0.0000
```

Computed properties:
Calculated total energy (eV/atom): -4.491